No. 1
VASP calculation (PBE) on a geometry-optimized RbGe2Rh2 structure. Values from VASP.

Geometry as Quantum ESPRESSO input:
```
&SYSTEM
  ibrav = 0, nat = 5, ntyp = 3
/
ATOMIC_SPECIES
Ge 72.64 Ge.upf
Rh 102.91 Rh.upf
Rb 85.47 Rb.upf
CELL_PARAMETERS angstrom
-1.794 -2.270 3.048
2.507 -3.240 -0.937
4.799 -0.548 5.313
ATOMIC_POSITIONS crystal
Ge 0.345 0.345 0.309
Ge 0.655 0.655 0.691
Rh 0.250 0.750 0.500
Rh 0.750 0.250 0.500
Rb 0.000 0.000 0.000
```

Values from the calculation:
DOS(E_F) = 0.509 states/eV/atom
Space-group type = I4/mmm (139)
DFT formation energy = -424 meV per atom
Total magnetic moment = 0.0 μB per formula unit
Relative energy among the computed polymorphs = 0.0 meV/atom

***

No. 2
VASP calculation (PBE) on a geometry-optimized LuMgCdPd structure. Values from VASP.

Geometry as Quantum ESPRESSO input:
```
&SYSTEM
  ibrav = 0, nat = 4, ntyp = 4
/
ATOMIC_SPECIES
Mg 24.30 Mg.upf
Pd 106.42 Pd.upf
Cd 112.41 Cd.upf
Lu 174.97 Lu.upf
CELL_PARAMETERS angstrom
4.867 0.000 0.000
2.434 4.215 0.000
2.434 1.405 3.974
ATOMIC_POSITIONS crystal
Mg 0.500 0.500 0.500
Pd 0.250 0.250 0.250
Cd 0.750 0.750 0.750
Lu 0.000 0.000 0.000
```

Values from the calculation:
DOS(E_F) = 0.595 states/eV/atom
Space-group type = F-43m (216)
DFT formation energy = -502 meV per atom
Total magnetic moment = 0.0 μB per formula unit

***

No. 3
VASP calculation (PBE) on a geometry-optimized AgP2Se2 structure. Values from VASP.

Geometry as Quantum ESPRESSO input:
```
&SYSTEM
  ibrav = 0, nat = 5, ntyp = 3
/
ATOMIC_SPECIES
P 30.97 P.upf
Se 78.96 Se.upf
Ag 107.87 Ag.upf
CELL_PARAMETERS angstrom
-0.630 -4.154 3.016
5.124 -0.686 0.126
2.467 -0.201 4.673
ATOMIC_POSITIONS crystal
P 0.325 0.325 0.350
P 0.675 0.675 0.650
Se 0.250 0.750 0.500
Se 0.750 0.250 0.500
Ag 0.000 0.000 0.000
```

Values from the calculation:
DOS(E_F) = 0.414 states/eV/atom
Space-group type = I4/mmm (139)
Total magnetic moment = 0.0 μB per formula unit
Formation energy without anion corrections = 0.324 eV/atom
Relative energy among the computed polymorphs = 32.8 meV/atom

***

No. 4
VASP calculation (PBE) on a geometry-optimized MgAlCd2 structure. Values from VASP.

Geometry as Quantum ESPRESSO input:
```
&SYSTEM
  ibrav = 0, nat = 4, ntyp = 3
/
ATOMIC_SPECIES
Cd 112.41 Cd.upf
Al 26.98 Al.upf
Mg 24.30 Mg.upf
CELL_PARAMETERS angstrom
-7.827 5.724 3.790
-6.749 4.607 6.451
-5.494 7.138 5.221
ATOMIC_POSITIONS crystal
Cd 0.002 0.002 0.002
Cd 0.498 0.498 0.498
Al 0.750 0.750 0.750
Mg 0.250 0.250 0.250
```

Values from the calculation:
DOS(E_F) = 0.253 states/eV/atom
Space-group type = R-3m (166)
DFT formation energy = 37 meV per atom
Total magnetic moment = 0.0 μB per formula unit

***

No. 5
VASP calculation (PBE) on a geometry-optimized Ho4Se5 structure. Values from VASP.

Geometry as Quantum ESPRESSO input:
```
&SYSTEM
  ibrav = 0, nat = 9, ntyp = 2
/
ATOMIC_SPECIES
Ho 164.93 Ho.upf
Se 78.96 Se.upf
CELL_PARAMETERS angstrom
3.623 0.000 0.000
1.812 8.330 0.000
1.812 0.000 8.330
ATOMIC_POSITIONS crystal
Ho 0.351 0.000 0.298
Ho 0.649 0.000 0.702
Ho 0.351 0.298 0.000
Ho 0.649 0.702 0.000
Se 0.720 0.280 0.280
Se 0.000 0.280 0.720
Se 0.000 0.720 0.280
Se 0.000 0.000 0.000
Se 0.280 0.720 0.720
```

Values from the calculation:
DOS(E_F) = 0.410 states/eV/atom
Space-group type = I4/mmm (139)
Total magnetic moment = 1.5 μB per formula unit
Formation energy without anion corrections = -1.201 eV/atom

***

Number 1: E_tot -0.1986 hartree per atom. Number 2: E_tot -0.1308 hartree per atom. Number 3: E_tot -0.1398 hartree per atom. Number 4: E_tot -0.0645 hartree per atom. Number 5: E_tot -0.1901 hartree per atom.